Entry 1:
A plane-wave DFT calculation with GGA-PBE was carried out for a relaxed structure of VMoRh3.

Computed properties:
total magnetic moment	0.0	μB per cell
energy of formation from the pure elements	-0.0157	eV per atom
space group	No. 62
calculated volume	299	Å³ per cell
raw total energy	-8.417	eV/atom

a = 6.2567 Å, b = 6.8323 Å, c = 6.9858 Å
α = 90.00°, β = 90.00°, γ = 90.00°
Element x y z (fractional)
V1 0.1982 0.2500 0.0575
V2 0.3018 0.7500 0.5575
V3 0.6982 0.2500 0.4425
V4 0.8018 0.7500 0.9425
Mo1 0.0000 0.0000 0.5000
Mo2 0.0000 0.5000 0.5000
Mo3 0.5000 0.0000 0.0000
Mo4 0.5000 0.5000 0.0000
Rh1 0.1296 0.5572 0.8479
Rh2 0.1296 0.9428 0.8479
Rh3 0.1517 0.7500 0.1986
Rh4 0.3483 0.2500 0.6986
Rh5 0.3704 0.0572 0.3479
Rh6 0.3704 0.4428 0.3479
Rh7 0.6296 0.5572 0.6521
Rh8 0.6296 0.9428 0.6521
Rh9 0.6517 0.7500 0.3014
Rh10 0.8483 0.2500 0.8014
Rh11 0.8704 0.0572 0.1521
Rh12 0.8704 0.4428 0.1521

Entry 2:
A plane-wave DFT calculation with GGA-PBE was carried out for a relaxed structure of La6Ge2Bi3Te.

Computed properties:
total magnetic moment	0.0	μB per cell
space group	No. 12
calculated volume	411	Å³ per cell
energy relative to the elements, uncorrected	-12.6	eV/f.u.
raw total energy	-5.512	eV/atom

a = 10.2831 Å, b = 10.2831 Å, c = 9.2341 Å
α = 103.13°, β = 103.13°, γ = 25.68°
Element x y z (fractional)
La1 0.0076 0.0076 0.2554
La2 0.3288 0.3288 0.4269
La3 0.3318 0.3318 0.9008
La4 0.6682 0.6682 0.0992
La5 0.6712 0.6712 0.5731
La6 0.9924 0.9924 0.7446
Ge1 0.1666 0.1666 0.3323
Ge2 0.8334 0.8334 0.6677
Bi1 0.1627 0.1627 0.8333
Bi2 0.5000 0.5000 0.5000
Bi3 0.8373 0.8373 0.1667
Te1 0.5000 0.5000 0.0000

Entry 3:
A plane-wave DFT calculation with GGA-PBE was carried out for a relaxed structure of Er4CoTe2.

Computed properties:
total magnetic moment	0.0	μB per cell
space group	No. 55
calculated volume	391	Å³ per cell
energy relative to the elements, uncorrected	-5.8	eV/f.u.
raw total energy	-5.342	eV/atom

a = 7.8513 Å, b = 12.1492 Å, c = 4.0972 Å
α = 90.00°, β = 90.00°, γ = 90.00°
Element x y z (fractional)
Er1 0.1350 0.1923 0.0000
Er2 0.1951 0.9437 0.5000
Er3 0.3049 0.4437 0.5000
Er4 0.3650 0.6923 0.0000
Er5 0.6350 0.3077 0.0000
Er6 0.6951 0.5563 0.5000
Er7 0.8049 0.0563 0.5000
Er8 0.8650 0.8077 0.0000
Co1 0.0000 0.0000 0.0000
Co2 0.5000 0.5000 0.0000
Te1 0.0674 0.6645 0.5000
Te2 0.4326 0.1645 0.5000
Te3 0.5674 0.8355 0.5000
Te4 0.9326 0.3355 0.5000

Entry 4:
A plane-wave DFT calculation with GGA-PBE was carried out for a relaxed structure of Pr3Y2ScTe6.

Computed properties:
total magnetic moment	0.0	μB per cell
space group	No. 12
calculated volume	366	Å³ per cell
energy relative to the elements, uncorrected	-16.1	eV/f.u.
raw total energy	-5.710	eV/atom

a = 9.9273 Å, b = 9.9273 Å, c = 8.9438 Å
α = 104.35°, β = 104.35°, γ = 25.41°
Element x y z (fractional)
Pr1 0.0000 0.0000 0.0000
Pr2 0.3288 0.3288 0.6627
Pr3 0.6712 0.6712 0.3373
Y1 0.3333 0.3333 0.1666
Y2 0.6667 0.6667 0.8334
Sc1 0.0000 0.0000 0.5000
Te1 0.1575 0.1575 0.5884
Te2 0.1696 0.1696 0.0762
Te3 0.4990 0.4990 0.2686
Te4 0.5010 0.5010 0.7314
Te5 0.8304 0.8304 0.9238
Te6 0.8425 0.8425 0.4116

Entry 5:
A plane-wave DFT calculation with GGA-PBE was carried out for a relaxed structure of MgAs2Ir.

Computed properties:
total magnetic moment	0.0	μB per cell
energy of formation from the pure elements	-0.1842	eV per atom
space group	No. 99
calculated volume	73	Å³ per cell
raw total energy	-5.123	eV/atom

a = 2.9710 Å, b = 2.9710 Å, c = 8.3251 Å
α = 90.00°, β = 90.00°, γ = 90.00°
Element x y z (fractional)
Mg1 0.0000 0.0000 0.0000
As1 0.0000 0.0000 0.5905
As2 0.5000 0.5000 0.2447
Ir1 0.5000 0.5000 0.7662

Entry 6:
A plane-wave DFT calculation with GGA-PBE was carried out for a relaxed structure of RbMgCu2Sb.

Computed properties:
total magnetic moment	0.0	μB per cell
space group	No. 123
calculated volume	155	Å³ per cell
energy relative to the elements, uncorrected	7.3	eV/f.u.
raw total energy	-1.514	eV/atom

a = 5.1505 Å, b = 5.1505 Å, c = 5.8591 Å
α = 90.00°, β = 90.00°, γ = 90.00°
Element x y z (fractional)
Rb1 0.0000 0.0000 0.0000
Mg1 0.0000 0.0000 0.5000
Cu1 0.0000 0.5000 0.0000
Cu2 0.5000 0.0000 0.0000
Sb1 0.5000 0.5000 0.5000

Entry 7:
A plane-wave DFT calculation with GGA-PBE was carried out for a relaxed structure of GeHAu3.

Computed properties:
total magnetic moment	0.0	μB per cell
space group	No. 221
calculated volume	78	Å³ per cell
raw total energy	-3.255	eV/atom

a = 4.2790 Å, b = 4.2790 Å, c = 4.2790 Å
α = 90.00°, β = 90.00°, γ = 90.00°
Element x y z (fractional)
Ge1 0.0000 0.0000 0.0000
H1 0.5000 0.5000 0.5000
Au1 0.0000 0.5000 0.5000
Au2 0.5000 0.0000 0.5000
Au3 0.5000 0.5000 0.0000

Entry 8:
A plane-wave DFT calculation with GGA-PBE was carried out for a relaxed structure of Pr2TlCu.

Computed properties:
total magnetic moment	0.3	μB per cell
energy of formation from the pure elements	-0.2411	eV per atom
space group	No. 123
calculated volume	109	Å³ per cell
raw total energy	-4.246	eV/atom

a = 3.6967 Å, b = 3.6967 Å, c = 7.9458 Å
α = 90.00°, β = 90.00°, γ = 90.00°
Element x y z (fractional)
Pr1 0.0000 0.0000 0.2222
Pr2 0.0000 0.0000 0.7778
Tl1 0.5000 0.5000 0.5000
Cu1 0.5000 0.5000 0.0000

Entry 9:
A plane-wave DFT calculation with GGA-PBE was carried out for a relaxed structure of Ti3Co2Mo.

Computed properties:
total magnetic moment	0.0	μB per cell
energy of formation from the pure elements	-0.3026	eV per atom
space group	No. 123
calculated volume	84	Å³ per cell
raw total energy	-8.424	eV/atom

a = 3.0613 Å, b = 3.0613 Å, c = 9.0118 Å
α = 90.00°, β = 90.00°, γ = 90.00°
Element x y z (fractional)
Ti1 0.0000 0.0000 0.0000
Ti2 0.0000 0.0000 0.3259
Ti3 0.0000 0.0000 0.6741
Co1 0.5000 0.5000 0.1548
Co2 0.5000 0.5000 0.8452
Mo1 0.5000 0.5000 0.5000

Entry 10:
A plane-wave DFT calculation with GGA-PBE was carried out for a relaxed structure of Cd3Hg3Sb.

Computed properties:
total magnetic moment	2.9	μB per cell
space group	No. 223
calculated volume	511	Å³ per cell
energy relative to the elements, uncorrected	3.1	eV/f.u.
raw total energy	-0.662	eV/atom

a = 7.9968 Å, b = 7.9968 Å, c = 7.9968 Å
α = 90.00°, β = 90.00°, γ = 90.00°
Element x y z (fractional)
Cd1 0.0000 0.2500 0.5000
Cd2 0.0000 0.7500 0.5000
Cd3 0.2500 0.5000 0.0000
Cd4 0.5000 0.0000 0.2500
Cd5 0.5000 0.0000 0.7500
Cd6 0.7500 0.5000 0.0000
Hg1 0.0000 0.5000 0.2500
Hg2 0.0000 0.5000 0.7500
Hg3 0.2500 0.0000 0.5000
Hg4 0.5000 0.2500 0.0000
Hg5 0.5000 0.7500 0.0000
Hg6 0.7500 0.0000 0.5000
Sb1 0.0000 0.0000 0.0000
Sb2 0.5000 0.5000 0.5000